! YEr4CuS8, relaxed, DFT GGA-PBE; values from VASP
! raw total energy: -87.300 eV per cell
&SYSTEM
  ibrav = 0, nat = 14, ntyp = 4
/
ATOMIC_SPECIES
Y 88.91 Y.upf
Er 167.26 Er.upf
Cu 63.55 Cu.upf
S 32.06 S.upf
CELL_PARAMETERS angstrom
3.9296 2.2687 6.4417
-3.9296 2.2687 6.4417
0.0000 -4.5375 6.4417
ATOMIC_POSITIONS crystal
Y 0.0000 0.0000 0.0000
Er 0.9999 0.9999 0.5193
Er 0.9999 0.5193 0.9999
Er 0.3793 0.3793 0.3793
Er 0.5193 0.9999 0.9999
Cu 0.6305 0.6305 0.6305
S 0.2457 0.2457 0.2457
S 0.2475 0.2475 0.7805
S 0.2475 0.7805 0.2475
S 0.2496 0.7552 0.7552
S 0.7552 0.2496 0.7552
S 0.7552 0.7552 0.2496
S 0.7570 0.7570 0.7570
S 0.7805 0.2475 0.2475

---

! GeAuS2, relaxed, DFT GGA-PBE; values from VASP
! raw total energy: -16.473 eV per cell
&SYSTEM
  ibrav = 0, nat = 4, ntyp = 3
/
ATOMIC_SPECIES
Ge 72.64 Ge.upf
Au 196.97 Au.upf
S 32.06 S.upf
CELL_PARAMETERS angstrom
3.6525 0.0000 0.0000
0.8098 4.4208 0.0000
0.2999 0.0479 5.9742
ATOMIC_POSITIONS crystal
Ge 0.0000 0.0000 0.0000
Au 0.2767 0.2735 0.5389
S 0.4863 0.9298 0.2561
S 0.9612 0.5022 0.8567

---

! Pm6BiSb3Se2, relaxed, DFT GGA-PBE; values from VASP
! raw total energy: -68.030 eV per cell
&SYSTEM
  ibrav = 0, nat = 12, ntyp = 4
/
ATOMIC_SPECIES
Pm 145.00 Pm.upf
Bi 208.98 Bi.upf
Sb 121.76 Sb.upf
Se 78.96 Se.upf
CELL_PARAMETERS angstrom
9.6131 -2.2141 0.0000
9.6131 2.2141 0.0000
-2.0075 0.0000 8.5970
ATOMIC_POSITIONS crystal
Pm 0.0044 0.0044 0.2569
Pm 0.3300 0.3300 0.9101
Pm 0.3314 0.3314 0.4208
Pm 0.6686 0.6686 0.5792
Pm 0.6700 0.6700 0.0899
Pm 0.9956 0.9956 0.7431
Bi 0.5000 0.5000 0.0000
Sb 0.1643 0.1643 0.8311
Sb 0.5000 0.5000 0.5000
Sb 0.8357 0.8357 0.1689
Se 0.1689 0.1689 0.3358
Se 0.8311 0.8311 0.6642

---

! SiNiHN, relaxed, DFT GGA-PBE; values from VASP
! raw total energy: -24.152 eV per cell
! energy above the most stable polymorph in this dataset: 33 meV per atom
&SYSTEM
  ibrav = 0, nat = 4, ntyp = 4
/
ATOMIC_SPECIES
Si 28.09 Si.upf
Ni 58.69 Ni.upf
H 1.01 H.upf
N 14.01 N.upf
CELL_PARAMETERS angstrom
2.4662 -1.3963 0.0000
2.4662 1.3963 0.0000
-1.5214 0.0000 4.8302
ATOMIC_POSITIONS crystal
Si 0.0000 0.0000 0.0000
Ni 0.4858 0.4858 0.4040
H 0.8285 0.8285 0.4448
N 0.6203 0.6203 0.8411

---

Which value of raw total energy does entry 1 give? -87.300 eV per cell

---

The lowest raw total energy belongs to which entry? YEr4CuS8

---

What is the raw total energy in the second record? -16.473 eV per cell